# 1
LiLaNb3 after structural relaxation. Source: the Alexandria database, functional PBE-GGA.

The structure in POSCAR format:
```
LiLaNb3
1.0
-3.275 -3.082 -1.415
-1.210 -0.775 4.490
-3.168 3.482 -0.253
Li Nb La
1 3 1
Direct
0.000 0.000 0.000 Li
0.500 0.000 0.000 Nb
0.000 0.000 0.500 Nb
0.000 0.500 0.000 Nb
0.500 0.500 0.500 La
```

Computed properties:
* ΔE_f: 1090 meV per atom
* volume: 20.95 A^3/atom
* uncorrected energy: -6.320 eV/atom
* relative energy among the computed polymorphs: 0.0000 eV per atom

# 2
Li2LaNb after structural relaxation. Source: the Alexandria database, functional PBE-GGA.

The structure in POSCAR format:
```
Li2LaNb
1.0
-2.450 3.660 2.184
-0.308 4.396 -2.179
-4.290 1.533 -1.847
Li La Nb
2 1 1
Direct
0.750 0.750 0.750 Li
0.250 0.250 0.250 Li
0.500 0.500 0.500 La
0.000 0.000 0.000 Nb
```

Computed properties:
* ΔE_f: 564 meV per atom
* volume: 21.00 A^3/atom
* uncorrected energy: -4.142 eV/atom
* relative energy among the computed polymorphs: 0.0000 eV per atom

# 3
Li2LaNb6O18 after structural relaxation. Source: the Alexandria database, functional PBE-GGA.

The structure in POSCAR format:
```
Li2LaNb6O18
1.0
3.966 0.000 0.000
0.000 8.014 0.000
0.000 0.000 11.956
O Li Nb La
18 2 6 1
Direct
0.000 0.231 0.500 O
0.000 0.500 0.000 O
0.000 0.765 0.167 O
0.000 0.500 0.335 O
0.500 0.231 0.658 O
0.500 0.231 0.342 O
0.000 0.500 0.665 O
0.000 0.000 0.000 O
0.000 0.765 0.833 O
0.500 0.780 0.000 O
0.500 0.220 0.000 O
0.000 0.235 0.833 O
0.000 0.235 0.167 O
0.000 0.000 0.652 O
0.500 0.769 0.342 O
0.500 0.769 0.658 O
0.000 0.769 0.500 O
0.000 0.000 0.348 O
0.500 0.000 0.108 Li
0.500 0.000 0.892 Li
0.000 0.258 0.672 Nb
0.000 0.743 0.000 Nb
0.000 0.258 0.328 Nb
0.000 0.742 0.672 Nb
0.000 0.742 0.328 Nb
0.000 0.257 0.000 Nb
0.500 0.000 0.500 La
```

Computed properties:
* volume: 14.07 A^3/atom
* uncorrected energy: -8.380 eV/atom

# 4
Li3LaNb4O12 after structural relaxation. Source: the Alexandria database, functional PBE-GGA.

The structure in POSCAR format:
```
Li3LaNb4O12
1.0
6.730 0.000 0.000
-2.243 6.345 0.000
-2.243 -3.173 5.495
O Li La Nb
12 3 1 4
Direct
0.293 0.186 0.479 O
0.293 0.814 0.108 O
0.814 0.521 0.707 O
0.707 0.814 0.521 O
0.186 0.479 0.293 O
0.479 0.293 0.186 O
0.521 0.707 0.814 O
0.892 0.707 0.186 O
0.707 0.186 0.892 O
0.108 0.293 0.814 O
0.186 0.892 0.707 O
0.814 0.108 0.293 O
0.500 0.000 0.500 Li
0.000 0.500 0.500 Li
0.500 0.500 0.000 Li
0.000 0.000 0.000 La
0.000 0.000 0.500 Nb
0.500 0.000 0.000 Nb
0.500 0.500 0.500 Nb
0.000 0.500 0.000 Nb
```

Computed properties:
* volume: 11.73 A^3/atom
* uncorrected energy: -8.116 eV/atom